Density functional theory data (PBE-GGA) for a relaxed Er2Ga3Cu4Au crystal.

Geometry as CIF:
```
data_Er2Ga3Cu4Au
_cell_length_a 3.993
_cell_length_b 3.993
_cell_length_c 10.882
_cell_angle_alpha 90.00
_cell_angle_beta 90.00
_cell_angle_gamma 90.00
_symmetry_space_group_name_H-M 'P 1'
_symmetry_Int_Tables_number 1
loop_
_symmetry_equiv_pos_as_xyz
'x,y,z'
loop_
_atom_site_label
_atom_site_fract_x
_atom_site_fract_y
_atom_site_fract_z
Er1 0.000 0.500 0.247
Er2 0.500 0.000 0.753
Ga1 0.000 0.500 0.869
Ga2 0.500 0.000 0.131
Ga3 0.500 0.500 0.500
Cu1 0.000 0.000 0.000
Cu2 0.000 0.500 0.652
Cu3 0.500 0.000 0.348
Cu4 0.500 0.500 0.000
Au1 0.000 0.000 0.500
```

Output
ΔH_f (0 K)   -0.400 eV per atom
ρ   9.52 g cm⁻³